# GGA-PBE Ti2AgF, relaxed
data_Ti2AgF
_space_group_name_H-M_alt 'I -4 2 d'
_space_group_IT_number 122
_space_group_name_Hall 'I -4 2bw'
_cell_length_a 4.893
_cell_length_b 4.893
_cell_length_c 12.119
_cell_angle_alpha 90.00
_cell_angle_beta 90.00
_cell_angle_gamma 90.00
loop_
_atom_site_label
_atom_site_type_symbol
_atom_site_fract_x
_atom_site_fract_y
_atom_site_fract_z
Ti1 Ti 0.123 0.250 0.125
Ag1 Ag 0.000 0.000 0.500
F1 F 0.000 0.000 0.000
# formation energy (no corrections) = -387 meV/atom

---

# GGA-PBE Th2GaPd6, relaxed
data_Th2GaPd6
_space_group_name_H-M_alt 'P -3 m 1'
_space_group_IT_number 164
_space_group_name_Hall '-P 3 2"'
_cell_length_a 5.7910
_cell_length_b 5.7910
_cell_length_c 5.9100
_cell_angle_alpha 90.00
_cell_angle_beta 90.00
_cell_angle_gamma 120.00
loop_
_atom_site_label
_atom_site_type_symbol
_atom_site_fract_x
_atom_site_fract_y
_atom_site_fract_z
Th1 Th 0.3333 0.6667 0.3064
Ga1 Ga 0.0000 0.0000 0.5000
Pd1 Pd 0.1734 0.3468 0.8099
# DFT formation energy = -7.48 eV/f.u.

---

# GGA-PBE Y2NiAg, relaxed
data_Y2NiAg
_space_group_name_H-M_alt 'C 1 2/m 1'
_space_group_IT_number 12
_cell_length_a 6.879
_cell_length_b 3.978
_cell_length_c 7.537
_cell_angle_alpha 90.00
_cell_angle_beta 107.79
_cell_angle_gamma 90.00
loop_
_space_group_symop_operation_xyz
'x,y,z'
'-x,-y,-z'
'-x,y,-z'
'x,-y,z'
'x+1/2,y+1/2,z'
'-x+1/2,-y+1/2,-z'
'-x+1/2,y+1/2,-z'
'x+1/2,-y+1/2,z'
loop_
_atom_site_label
_atom_site_type_symbol
_atom_site_fract_x
_atom_site_fract_y
_atom_site_fract_z
Y1 Y 0.238 0.000 0.214
Ni1 Ni 0.000 0.500 0.000
Ag1 Ag 0.000 0.000 0.500
# DFT formation energy = -0.81 eV/f.u.

---

# GGA-PBE Y8Tm6Th, relaxed
data_Y8Tm6Th
_space_group_name_H-M_alt 'R -3'
_space_group_IT_number 148
_space_group_name_Hall '-R 3'
_cell_length_a 8.9771
_cell_length_b 8.9771
_cell_length_c 20.6406
_cell_angle_alpha 90.00
_cell_angle_beta 90.00
_cell_angle_gamma 120.00
loop_
_atom_site_label
_atom_site_type_symbol
_atom_site_fract_x
_atom_site_fract_y
_atom_site_fract_z
Y1 Y 0.0000 0.0000 0.0776
Y2 Y 0.0823 0.5227 0.3058
Tm1 Tm 0.0553 0.8105 0.2077
Th1 Th 0.0000 0.0000 0.5000
# DFT formation energy = 1.98 eV/f.u.

---

In the order shown, the computed DOS at the Fermi energy values come out to 5.44, 5.70, 5.40, 75.21 states/eV/cell.